Computed, not measured: crystalline TbYCo at its relaxed geometry at the GGA-PBE level of DFT.

Results
ΔH_f (0 K)   -0.1197 eV/atom

Unit cell a=5.792 b=3.775 c=6.979 alpha=90.00 beta=93.38 gamma=90.00
Space group P2_1/m (No. 11)
Symmetry-distinct sites (fractional):
Tb 0.167 0.250 0.320 x2
Y 0.354 0.250 0.826 x2
Co 0.124 0.750 0.039 x2

---

Computed, not measured: crystalline Tb6YCo2 at its relaxed geometry at the GGA-PBE level of DFT.

Results
ΔH_f (0 K)   -0.0389 eV/atom

Unit cell a=9.471 b=9.966 c=10.169 alpha=90.00 beta=90.00 gamma=90.00
Space group Immm (No. 71)
Symmetry-distinct sites (fractional):
Tb 0.000 0.221 0.226 x8
Tb 0.198 0.194 0.500 x8
Tb 0.204 0.500 0.308 x8
Y 0.000 0.000 0.000 x2
Y 0.000 0.500 0.000 x2
Co 0.000 0.000 0.384 x4
Co 0.000 0.390 0.500 x4

---

Computed, not measured: crystalline TbYCo4 at its relaxed geometry at the GGA-PBE level of DFT.

Results
ΔH_f (0 K)   -0.1821 eV/atom

Unit cell a=7.189 b=7.189 c=7.189 alpha=90.00 beta=90.00 gamma=90.00
Space group F-43m (No. 216)
Symmetry-distinct sites (fractional):
Tb 0.000 0.000 0.000 x4
Y 0.250 0.250 0.250 x4
Co 0.125 0.125 0.625 x16

---

| no. | density (Mg/m³) | density of states at the Fermi level (states/eV/cell) |
| --- | --- | --- |
| 1 | 6.688 | 7.00 |
| 2 | 8.030 | 42.06 |
| 3 | 8.643 | 29.34 |